Here is a relaxed structure of LiInP from Alexandria via LeMat-Bulk. Energies are from PBE.

DOS(E_F) (states/eV/atom): 0.68
Relative energy among the computed polymorphs (eV per atom): 0.235

CIF file:
```
data_LiInP
_cell_length_a 4.5393
_cell_length_b 4.5393
_cell_length_c 4.5393
_cell_angle_alpha 60.00
_cell_angle_beta 60.00
_cell_angle_gamma 60.00
_symmetry_space_group_name_H-M 'P 1'
_symmetry_Int_Tables_number 1
loop_
_symmetry_equiv_pos_as_xyz
'x,y,z'
loop_
_atom_site_label
_atom_site_type_symbol
_atom_site_fract_x
_atom_site_fract_y
_atom_site_fract_z
Li1 Li 0.0000 0.0000 0.0000
In1 In 0.5000 0.5000 0.5000
P1 P 0.2500 0.2500 0.2500
```



Here is a relaxed structure of Li2In2P from Alexandria via LeMat-Bulk. Energies are from PBE.

DOS(E_F) (states/eV/atom): 0.44
Relative energy among the computed polymorphs (eV per atom): 0.000

CIF file:
```
data_Li2In2P
_cell_length_a 6.5021
_cell_length_b 6.5021
_cell_length_c 4.7346
_cell_angle_alpha 90.00
_cell_angle_beta 90.00
_cell_angle_gamma 90.00
_symmetry_space_group_name_H-M 'P 1'
_symmetry_Int_Tables_number 1
loop_
_symmetry_equiv_pos_as_xyz
'x,y,z'
loop_
_atom_site_label
_atom_site_type_symbol
_atom_site_fract_x
_atom_site_fract_y
_atom_site_fract_z
Li1 Li 0.1576 0.3424 0.0000
Li2 Li 0.3424 0.8424 0.0000
Li3 Li 0.6576 0.1576 0.0000
Li4 Li 0.8424 0.6576 0.0000
In1 In 0.1723 0.6723 0.5000
In2 In 0.3277 0.1723 0.5000
In3 In 0.6723 0.8277 0.5000
In4 In 0.8277 0.3277 0.5000
P1 P 0.0000 0.0000 0.0000
P2 P 0.5000 0.5000 0.0000
```



Here is a relaxed structure of LiInP from Alexandria via LeMat-Bulk. Energies are from PBE.

Relative energy among the computed polymorphs (eV per atom): 0.104

CIF file:
```
data_LiInP
_cell_length_a 6.6883
_cell_length_b 6.6883
_cell_length_c 7.2351
_cell_angle_alpha 117.69
_cell_angle_beta 117.69
_cell_angle_gamma 74.06
_symmetry_space_group_name_H-M 'P 1'
_symmetry_Int_Tables_number 1
loop_
_symmetry_equiv_pos_as_xyz
'x,y,z'
loop_
_atom_site_label
_atom_site_type_symbol
_atom_site_fract_x
_atom_site_fract_y
_atom_site_fract_z
Li1 Li 0.0359 0.3376 0.4740
Li2 Li 0.1001 0.8999 0.5000
Li3 Li 0.3376 0.0359 0.9740
Li4 Li 0.8999 0.1001 0.0000
In1 In 0.2704 0.5591 0.9722
In2 In 0.5591 0.2704 0.4722
In3 In 0.6536 0.7757 0.5538
In4 In 0.7757 0.6536 0.0538
P1 P 0.2620 0.9719 0.2817
P2 P 0.3449 0.6263 0.6816
P3 P 0.6263 0.3449 0.1816
P4 P 0.9719 0.2620 0.7817
```